## ZrReClF5 (GGA-PBE)

Data for ZrReClF5 after structural relaxation.

```
ZrReClF5
1.0
5.3105 0.0000 0.0000
0.0000 7.3237 0.0000
-0.9604 0.0000 5.6813
Zr Re Cl F
2 2 2 10
direct
0.0262 0.2500 0.1643
0.9738 0.7500 0.8357
0.1999 0.7500 0.4297
0.8001 0.2500 0.5703
0.3696 0.2500 0.9344
0.6304 0.7500 0.0656
0.1556 0.5683 0.1565
0.1556 0.9317 0.1565
0.2339 0.5684 0.6910
0.2339 0.9316 0.6910
0.3305 0.2500 0.4199
0.6695 0.7500 0.5801
0.7661 0.0684 0.3090
0.7661 0.4316 0.3090
0.8444 0.0683 0.8435
0.8444 0.4317 0.8435
```

Calculated values
**Space-group type**: No. 11
**E_tot**: -6.033 eV per atom